(1)
Crystalline KY3Pt at its relaxed geometry. Source: Alexandria via LeMat-Bulk, functional PBE.

Cell: 5.1070 5.1070 5.1070 Å, 90.00 90.00 90.00°
Closest atoms and distances in Å follow each position.
Fractional coordinates of all 5 atoms:
K 0.0000 0.0000 0.0000  6 Y 2.55
Y 0.0000 0.0000 0.5000  2 K 2.55
Y 0.0000 0.5000 0.0000  2 K 2.55
Y 0.5000 0.0000 0.0000  2 K 2.55
Pt 0.5000 0.5000 0.5000  12 Y 3.61

## Properties
Mass density in g cm⁻³: 6.244
DFT total energy in eV per atom: -4.0052
M_tot in μB/cell: 0.000
SG: Pm-3m

(2)
Crystalline Tb15TmIn4 at its relaxed geometry. Source: Alexandria via LeMat-Bulk, functional PBE.

Cell: 4.8690 4.8690 24.7020 Å, 90.00 90.00 90.00°
Closest atoms and distances in Å follow each position.
Fractional coordinates of all 20 atoms:
Tb 0.0000 0.0000 0.0000  4 Tm 3.44, 8 Tb 3.54
Tb 0.0000 0.0000 0.2037  4 In 3.44, 8 Tb 3.45-3.46
Tb 0.0000 0.0000 0.4018  8 Tb 3.44-3.45, 4 In 3.44
Tb 0.0000 0.0000 0.5982  8 Tb 3.44-3.45, 4 In 3.44
Tb 0.0000 0.0000 0.7963  4 In 3.44, 8 Tb 3.45-3.46
Tb 0.0000 0.5000 0.1041  8 Tb 3.44-3.54, 2 In 3.49, 2 Tm 3.54
Tb 0.0000 0.5000 0.3025  4 In 3.42-3.45, 8 Tb 3.44-3.45
Tb 0.0000 0.5000 0.5000  8 Tb 3.44, 4 In 3.44
Tb 0.0000 0.5000 0.6975  4 In 3.42-3.45, 8 Tb 3.44-3.45
Tb 0.0000 0.5000 0.8959  8 Tb 3.44-3.54, 2 In 3.49, 2 Tm 3.54
Tb 0.5000 0.0000 0.1041  8 Tb 3.44-3.54, 2 In 3.49, 2 Tm 3.54
Tb 0.5000 0.0000 0.3025  4 In 3.42-3.45, 8 Tb 3.44-3.45
Tb 0.5000 0.0000 0.5000  8 Tb 3.44, 4 In 3.44
Tb 0.5000 0.0000 0.6975  4 In 3.42-3.45, 8 Tb 3.44-3.45
Tb 0.5000 0.0000 0.8959  8 Tb 3.44-3.54, 2 In 3.49, 2 Tm 3.54
Tm 0.5000 0.5000 0.0000  12 Tb 3.44-3.54
In 0.5000 0.5000 0.2055  12 Tb 3.42-3.49
In 0.5000 0.5000 0.4014  12 Tb 3.44-3.45
In 0.5000 0.5000 0.5986  12 Tb 3.44-3.45
In 0.5000 0.5000 0.7945  12 Tb 3.42-3.49

## Properties
Mass density in g cm⁻³: 8.541
DFT total energy in eV per atom: -4.4495
M_tot in μB/cell: 0.056
SG: P4/mmm